The following is a GGA-PBE calculation of crystalline KCuNiTeSe2 at its relaxed geometry, from OQMD.

Results
As for the symmetry: Cmcm, No. 63. The value obtained for the uncorrected energy is -0.1392 hartree per atom. For the calculated density, the calculation gives 5.18 g/cm³.

Lattice parameters (Å, degrees): 7.947 7.947 10.178 90.00 90.00 153.54
Atoms (fractional coordinates):
K 0.237 0.763 0.750
K 0.763 0.237 0.250
Cu 0.449 0.551 0.250
Cu 0.551 0.449 0.750
Ni 0.000 0.000 0.000
Ni 0.000 0.000 0.500
Te 0.067 0.933 0.250
Te 0.933 0.067 0.750
Se 0.395 0.605 0.032
Se 0.395 0.605 0.468
Se 0.605 0.395 0.532
Se 0.605 0.395 0.968